(1)
K3BaLa | PBE | relaxed

a b c (Å): 7.004 7.004 7.004
angles (deg): 90.00 90.00 90.00
Atoms (fractional coordinates):
K  0.000  0.000  0.500
K  0.000  0.500  0.000
K  0.500  0.000  0.000
Ba  0.500  0.500  0.500
La  0.000  0.000  0.000

Properties
E_form = 0.733 eV/atom

---

(2)
K2BaLa | PBE | relaxed

a b c (Å): 8.280 8.280 3.884
angles (deg): 90.00 90.00 122.85
Atoms (fractional coordinates):
K  0.000  0.500  0.000
K  0.500  0.000  0.000
Ba  0.000  0.000  0.500
La  0.500  0.500  0.500

Properties
E_form = 0.365 eV/atom
offset from the most stable computed form = 61 kJ/mol of formula units

---

(3)
K2BaLa | PBE | relaxed

a b c (Å): 7.813 7.813 7.268
angles (deg): 97.01 97.01 29.81
Atoms (fractional coordinates):
K  0.247  0.247  0.242
K  0.753  0.753  0.758
Ba  0.000  0.000  0.500
La  0.500  0.500  0.000

Properties
E_form = 0.312 eV/atom
offset from the most stable computed form = 41 kJ/mol of formula units

---

(4)
K2BaLa | PBE | relaxed

a b c (Å): 7.265 7.265 4.240
angles (deg): 90.00 90.00 90.00
Atoms (fractional coordinates):
K  0.000  0.500  0.000
K  0.500  0.000  0.000
Ba  0.000  0.000  0.500
La  0.500  0.500  0.500

Properties
E_form = 0.467 eV/atom
offset from the most stable computed form = 101 kJ/mol of formula units

---

(5)
K2BaLa | PBE | relaxed

a b c (Å): 8.470 8.470 8.470
angles (deg): 101.66 101.66 126.58
Atoms (fractional coordinates):
K  0.121  0.625  0.996
K  0.375  0.371  0.496
K  0.629  0.125  0.004
K  0.875  0.879  0.504
Ba  0.250  0.750  0.500
Ba  0.500  0.500  0.000
La  0.000  0.000  0.000
La  0.750  0.250  0.500

Properties
E_form = 0.576 eV/atom
offset from the most stable computed form = 143 kJ/mol of formula units

---

(6)
K2BaLa | PBE | relaxed

a b c (Å): 4.015 4.015 15.122
angles (deg): 90.00 90.00 116.26
Atoms (fractional coordinates):
K  0.000  0.000  0.240
K  0.000  0.000  0.760
Ba  0.500  0.500  0.500
La  0.500  0.500  0.000

Properties
E_form = 0.303 eV/atom
offset from the most stable computed form = 37 kJ/mol of formula units

---

(7)
K2BaLa | PBE | relaxed

a b c (Å): 6.492 6.492 6.492
angles (deg): 60.00 60.00 60.00
Atoms (fractional coordinates):
K  0.250  0.250  0.250
K  0.750  0.750  0.750
Ba  0.000  0.000  0.000
La  0.500  0.500  0.500

Properties
E_form = 0.533 eV/atom
offset from the most stable computed form = 126 kJ/mol of formula units

---

(8)
K2BaLa | PBE | relaxed

a b c (Å): 7.244 7.244 8.251
angles (deg): 94.64 94.64 31.59
Atoms (fractional coordinates):
K  0.000  0.000  0.000
K  0.247  0.247  0.756
Ba  0.756  0.756  0.291
La  0.498  0.498  0.481

Properties
E_form = 0.341 eV/atom
offset from the most stable computed form = 52 kJ/mol of formula units

---

> What is the E_form in the first record?

0.733 eV/atom